The following is a PBE-GGA calculation of an optimized crystal structure of YCdInAu, from the Alexandria database.

a = 7.1142 Å, b = 7.1142 Å, c = 7.1142 Å
α = 90.00°, β = 90.00°, γ = 90.00°
Closest atoms and distances in Å follow each position.
Space group F-43m (No. 216)
Inequivalent atoms, fractional coordinates:
Y  0.0000  0.0000  0.0000 x4  4 Cd 3.08, 4 Au 3.08
Cd  0.2500  0.2500  0.7500 x4  4 In 3.08, 4 Y 3.08
In  0.0000  0.0000  0.5000 x4  4 Au 3.08, 4 Cd 3.08
Au  0.2500  0.2500  0.2500 x4  4 In 3.08, 4 Y 3.08

Values from the calculation:
The value obtained for the volume is 22.5 Å³ per atom. For the formation energy, the calculation gives -478 meV/atom.